DyHoSiPd after structural relaxation, computed with PBE.

As for the formation energy without anion corrections: -0.73 eV per atom. As for the total energy: -5.681 eV/atom. The value obtained for the density of states at the Fermi level is 1.80 states/eV/f.u. Its energy above the most stable polymorph in this dataset is 113 meV/atom. For the density, the calculation gives 8.9 g/cm³.

Cell: 4.966 4.966 4.966 Å, 60.00 60.00 60.00°
Fractional coordinates of all 4 atoms:
Si 0.750 0.750 0.750
Ho 0.000 0.000 0.000
Pd 0.250 0.250 0.250
Dy 0.500 0.500 0.500